Record 1
A plane-wave DFT calculation with GGA-PBEsol was carried out for a relaxed structure of BaTl2Mo.

**Total magnetization**: 0.9420 μB/atom
**Excess energy over the best structure of this formula in the dataset**: 99 meV per atom
**Energy relative to the elements**: 0.773 eV per atom
**Crystal system**: tetragonal

```
BaTl2Mo
1.0
4.996 0.000 0.000
-2.498 5.155 -0.045
0.000 2.459 4.349
Ba Tl Mo
1 2 1
Cartesian
2.498 1.229 2.174
0.000 0.000 0.000
0.000 3.192 1.065
2.498 4.422 3.239
```

Record 2
A plane-wave DFT calculation with GGA-PBEsol was carried out for a relaxed structure of Ba2TlMo.

**Total magnetization**: 0.6334 μB/atom
**Excess energy over the best structure of this formula in the dataset**: 0 meV per atom
**Energy relative to the elements**: 0.580 eV per atom
**Crystal system**: orthorhombic

```
Ba2TlMo
1.0
4.917 0.000 0.000
0.000 4.735 0.000
-2.458 0.000 6.221
Ba Mo Tl
2 1 1
Cartesian
0.000 2.367 4.952
0.000 0.000 1.330
2.458 0.000 3.815
2.458 2.367 2.405
```

Record 3
A plane-wave DFT calculation with GGA-PBEsol was carried out for a relaxed structure of BaTlMo2.

**Total magnetization**: 0.2330 μB/atom
**Excess energy over the best structure of this formula in the dataset**: 360 meV per atom
**Energy relative to the elements**: 1.181 eV per atom
**Crystal system**: cubic

```
BaTlMo2
1.0
5.013 0.000 0.000
2.506 4.341 0.000
2.506 1.447 4.093
Mo Tl Ba
2 1 1
Cartesian
7.519 4.341 3.070
0.000 0.000 0.000
2.506 1.447 1.023
5.013 2.894 2.046
```

Record 4
A plane-wave DFT calculation with GGA-PBEsol was carried out for a relaxed structure of BaTlMo2.

**Total magnetization**: 0.0000 μB/atom
**Excess energy over the best structure of this formula in the dataset**: 0 meV per atom
**Energy relative to the elements**: 0.822 eV per atom
**Crystal system**: tetragonal

```
BaTlMo2
1.0
-3.517 1.217 0.105
-1.221 -3.512 -0.185
0.074 -0.407 7.227
Mo Ba Tl
2 1 1
Cartesian
0.063 -0.345 6.127
0.011 -0.062 1.100
-2.332 -1.351 3.573
-2.369 -1.147 -0.040
```

Record 5
A plane-wave DFT calculation with GGA-PBEsol was carried out for a relaxed structure of Ba2TlMo.

**Total magnetization**: 0.7937 μB/atom
**Excess energy over the best structure of this formula in the dataset**: 132 meV per atom
**Energy relative to the elements**: 0.712 eV per atom
**Crystal system**: tetragonal

```
Ba2TlMo
1.0
-1.690 -2.714 2.315
-1.403 -1.849 -3.193
7.044 -4.703 -0.372
Tl Mo Ba
1 1 2
Cartesian
1.976 -4.633 -0.625
-1.547 -2.282 -0.439
1.661 -1.109 -0.088
5.383 -3.594 -0.284
```

Record 6
A plane-wave DFT calculation with GGA-PBEsol was carried out for a relaxed structure of Ba2MoW.

**Total magnetization**: 0.0001 μB/atom
**Excess energy over the best structure of this formula in the dataset**: 0 meV per atom
**Energy relative to the elements**: 0.739 eV per atom
**Crystal system**: monoclinic

```
Ba2MoW
1.0
-2.328 -0.450 2.381
-2.355 -0.620 -2.420
3.350 -9.412 -0.848
Ba Mo W
2 1 1
Cartesian
-1.754 -0.987 1.959
-0.405 -7.052 -0.234
1.367 -4.014 -0.301
-1.194 -3.587 -0.354
```

Record 7
A plane-wave DFT calculation with GGA-PBEsol was carried out for a relaxed structure of BaMo2W.

**Total magnetization**: 0.0000 μB/atom
**Excess energy over the best structure of this formula in the dataset**: 45 meV per atom
**Energy relative to the elements**: 0.887 eV per atom
**Crystal system**: monoclinic

```
BaMo2W
1.0
-1.348 -2.040 -1.706
-1.701 -1.695 3.371
-5.178 5.255 0.030
Mo W Ba
2 1 1
Cartesian
-3.187 -1.145 0.357
-0.589 0.380 -0.106
-2.739 1.129 -0.814
-4.974 2.763 1.421
```

Record 8
A plane-wave DFT calculation with GGA-PBEsol was carried out for a relaxed structure of BaMo2W.

**Total magnetization**: 0.0000 μB/atom
**Excess energy over the best structure of this formula in the dataset**: 0 meV per atom
**Energy relative to the elements**: 0.842 eV per atom
**Crystal system**: monoclinic

```
BaMo2W
1.0
-1.716 -2.372 -0.281
3.376 -2.330 -0.948
0.880 -1.538 6.918
Mo W Ba
2 1 1
Cartesian
-0.092 -0.556 1.037
-0.743 -3.354 5.600
0.830 -2.351 -0.614
2.128 -1.934 2.985
```

| no. | E (eV per cell) | Fermi-level density of states (states/eV/cell) |
| --- | --- | --- |
| 1 | -16.1 | 3.9 |
| 2 | -16.4 | 3.8 |
| 3 | -23.6 | 3.3 |
| 4 | -25.0 | 3.1 |
| 5 | -15.8 | 4.3 |
| 6 | -26.9 | 5.6 |
| 7 | -35.9 | 3.9 |
| 8 | -36.1 | 3.7 |